[1]
A plane-wave DFT calculation with SCAN was carried out for a crystal of La2MgBr relaxed with PBEsol.

Unit cell a=3.8195 b=6.0650 c=10.3125 alpha=90.00 beta=90.00 gamma=90.00
Closest atoms and distances in Å follow each position.
Element x y z (fractional)
La  0.0000  0.0000  0.0000  2 Mg 3.36, 6 La 3.45-3.58
La  0.0000  0.5000  0.2782  2 Br 3.09, 2 La 3.45
La  0.5000  0.0000  0.2782  2 Br 3.09, 2 La 3.45
La  0.5000  0.5000  0.0000  2 Mg 3.36, 6 La 3.45-3.58
Mg  0.0000  0.5000  0.7323  2 Br 2.95
Mg  0.5000  0.0000  0.7323  2 Br 2.95
Br  0.0000  0.0000  0.5141  2 Mg 2.95, 2 La 3.09
Br  0.5000  0.5000  0.5141  2 Mg 2.95, 2 La 3.09

- relative energy among the computed polymorphs (meV per atom) = 35

[2]
A plane-wave DFT calculation with SCAN was carried out for a crystal of La2MgBr relaxed with PBEsol.

Unit cell a=3.5946 b=5.4627 c=11.9349 alpha=90.00 beta=90.00 gamma=90.00
Closest atoms and distances in Å follow each position.
Element x y z (fractional)
La  0.0000  0.0000  0.0000  4 Br 3.28, 4 La 3.59-3.64
La  0.0000  0.5000  0.2345  2 Br 3.13, 4 Mg 3.32
La  0.5000  0.0000  0.7345  2 Br 3.13, 4 Mg 3.32
La  0.5000  0.5000  0.5000  4 Br 3.28, 4 La 3.59-3.64
Mg  0.0000  0.5000  0.7830  4 La 3.32, 2 Br 3.35, 2 Mg 3.59
Mg  0.5000  0.0000  0.2830  4 La 3.32, 2 Br 3.35, 2 Mg 3.59
Br  0.0000  0.0000  0.5202  6 La 3.13-3.28, 2 Mg 3.35
Br  0.5000  0.5000  0.0202  6 La 3.13-3.28, 2 Mg 3.35

- relative energy among the computed polymorphs (meV per atom) = 0

[3]
A plane-wave DFT calculation with SCAN was carried out for a crystal of LaMg2Br relaxed with PBEsol.

Unit cell a=4.2521 b=4.2521 c=11.8627 alpha=90.00 beta=90.00 gamma=90.00
Closest atoms and distances in Å follow each position.
Element x y z (fractional)
La  0.0000  0.0000  0.0000  4 Br 3.01
La  0.5000  0.5000  0.5000  4 Br 3.01
Mg  0.0000  0.5000  0.2500  4 Mg 3.01
Mg  0.0000  0.5000  0.7500  4 Mg 3.01
Mg  0.5000  0.0000  0.2500  4 Mg 3.01
Mg  0.5000  0.0000  0.7500  4 Mg 3.01
Br  0.0000  0.0000  0.5000  4 La 3.01
Br  0.5000  0.5000  0.0000  4 La 3.01

- uncorrected energy (eV/cell) = -148.885

[4]
A plane-wave DFT calculation with SCAN was carried out for a crystal of La3MgBr relaxed with PBEsol.

Unit cell a=5.6153 b=5.6153 c=5.6153 alpha=90.00 beta=90.00 gamma=90.00
Closest atoms and distances in Å follow each position.
Element x y z (fractional)
La  0.0000  0.0000  0.5000  2 Br 2.81
La  0.0000  0.5000  0.0000  2 Br 2.81
La  0.5000  0.0000  0.0000  2 Br 2.81
Mg  0.5000  0.5000  0.5000  12 La 3.97
Br  0.0000  0.0000  0.0000  6 La 2.81

- uncorrected energy (eV/cell) = -155.675

[5]
A plane-wave DFT calculation with SCAN was carried out for a crystal of LaMgBr relaxed with PBEsol.

Unit cell a=7.2972 b=7.2972 c=7.2972 alpha=90.00 beta=90.00 gamma=90.00
Closest atoms and distances in Å follow each position.
Element x y z (fractional)
La  0.0000  0.0000  0.0000  4 Mg 3.16
La  0.0000  0.5000  0.5000  4 Mg 3.16
La  0.5000  0.0000  0.5000  4 Mg 3.16
La  0.5000  0.5000  0.0000  4 Mg 3.16
Mg  0.2500  0.2500  0.2500  4 La 3.16, 4 Br 3.16
Mg  0.2500  0.7500  0.7500  4 La 3.16, 4 Br 3.16
Mg  0.7500  0.2500  0.7500  4 La 3.16, 4 Br 3.16
Mg  0.7500  0.7500  0.2500  4 La 3.16, 4 Br 3.16
Br  0.0000  0.0000  0.5000  4 Mg 3.16
Br  0.0000  0.5000  0.0000  4 Mg 3.16
Br  0.5000  0.0000  0.0000  4 Mg 3.16
Br  0.5000  0.5000  0.5000  4 Mg 3.16

- uncorrected energy (eV/cell) = -270.251

[6]
A plane-wave DFT calculation with SCAN was carried out for a crystal of LaMgOsBr2 relaxed with PBEsol.

Unit cell a=5.0259 b=5.0259 c=4.9074 alpha=90.00 beta=90.00 gamma=90.00
Closest atoms and distances in Å follow each position.
Element x y z (fractional)
La  0.0000  0.0000  0.0000  8 Br 3.51, 4 Mg 3.55
Mg  0.5000  0.5000  0.0000  2 Os 2.45
Os  0.5000  0.5000  0.5000  2 Mg 2.45, 4 Br 2.51
Br  0.0000  0.5000  0.5000  2 Os 2.51
Br  0.5000  0.0000  0.5000  2 Os 2.51

- uncorrected energy (eV/cell) = -157.705

[7]
A plane-wave DFT calculation with SCAN was carried out for a crystal of LaMg2PtBr relaxed with PBEsol.

Unit cell a=4.8246 b=4.8246 c=5.5706 alpha=90.00 beta=90.00 gamma=90.00
Closest atoms and distances in Å follow each position.
Element x y z (fractional)
La  0.0000  0.0000  0.0000  2 Br 2.79
Mg  0.0000  0.5000  0.5000  2 Br 2.41
Mg  0.5000  0.0000  0.5000  2 Br 2.41
Pt  0.5000  0.5000  0.0000  4 La 3.41, 8 Mg 3.68
Br  0.0000  0.0000  0.5000  4 Mg 2.41

- uncorrected energy (eV/cell) = -142.404

[8]
A plane-wave DFT calculation with SCAN was carried out for a crystal of La2MnBr relaxed with PBEsol.

Unit cell a=3.3963 b=5.1741 c=5.7132 alpha=90.00 beta=90.00 gamma=90.00
Closest atoms and distances in Å follow each position.
Element x y z (fractional)
La  0.0000  0.0000  0.0000  4 Br 3.09, 4 Mn 3.32, 2 La 3.40
La  0.0000  0.5000  0.5000  4 Mn 3.09, 4 Br 3.32, 2 La 3.40
Mn  0.5000  0.0000  0.5000  8 La 3.09-3.32, 2 Mn 3.40
Br  0.5000  0.5000  0.0000  8 La 3.09-3.32, 2 Br 3.40

- uncorrected energy (eV/cell) = -126.080